This record from Alexandria via LeMat-Bulk describes Sm2TcPd after structural relaxation. The functional is PBE.

## Properties
Its mass density is 9.51 g cm⁻³. As for the density of states at the Fermi level: 3.8 states/eV/cell. The calculation puts the calculated formation energy at -0.303 eV per atom. The value obtained for the electronic total energy is -6.552 eV per atom.

Cell and atoms, written as POSCAR:
```
Sm2TcPd
1.0
-2.002 -0.551 2.890
-1.497 -2.818 -1.574
4.961 -4.116 2.651
Pd Sm Tc
1 2 1
Direct
0.500 0.500 0.500
0.000 0.000 0.758
0.000 0.000 0.242
0.500 0.500 0.000
```